ZnSb3P: optimized geometry, PBE.

Summary:
Space-group type = Pm-3m (221)

a = 5.1520 Å, b = 5.1520 Å, c = 5.1520 Å
α = 90.00°, β = 90.00°, γ = 90.00°
Fractional positions:
Zn 0.0000 0.0000 0.0000
Sb 0.0000 0.0000 0.5000
Sb 0.0000 0.5000 0.0000
Sb 0.5000 0.0000 0.0000
P 0.5000 0.5000 0.5000

***

La2HO: optimized geometry, PBE.

Summary:
Space-group type = R-3m (166)

a = 3.7214 Å, b = 3.7214 Å, c = 18.0072 Å
α = 90.00°, β = 90.00°, γ = 120.00°
Fractional positions:
La 0.0000 0.0000 0.2436
La 0.0000 0.0000 0.7564
La 0.3333 0.6667 0.4231
La 0.3333 0.6667 0.9103
La 0.6667 0.3333 0.0897
La 0.6667 0.3333 0.5769
H 0.0000 0.0000 0.0000
H 0.3333 0.6667 0.6667
H 0.6667 0.3333 0.3333
O 0.0000 0.0000 0.5000
O 0.3333 0.6667 0.1667
O 0.6667 0.3333 0.8333

***

K2MgW: optimized geometry, PBE.

Summary:
Space-group type = C2/m (12)
Energy of formation = 1.303 eV per atom

a = 6.5023 Å, b = 12.6329 Å, c = 2.8022 Å
α = 90.00°, β = 113.69°, γ = 90.00°
Fractional positions:
K 0.2500 0.2500 0.0000
K 0.2500 0.7500 0.0000
K 0.7500 0.2500 0.0000
K 0.7500 0.7500 0.0000
Mg 0.0000 0.0000 0.5000
Mg 0.5000 0.5000 0.5000
W 0.0000 0.5000 0.5000
W 0.5000 0.0000 0.5000

***

Ti2ZnCdCl: optimized geometry, PBE.

Summary:
Space-group type = P4/mmm (123)

a = 5.3377 Å, b = 5.3377 Å, c = 5.2874 Å
α = 90.00°, β = 90.00°, γ = 90.00°
Fractional positions:
Ti 0.0000 0.5000 0.0000
Ti 0.5000 0.0000 0.0000
Zn 0.0000 0.0000 0.5000
Cd 0.5000 0.5000 0.0000
Cl 0.5000 0.5000 0.5000

***

One value per record, in order, for theoretical density: 5.6; 6.8; 4.5; 3.4 g/cm³.
One value per record, in order, for E_tot: -14.64; -73.66; -23.06; -14.31 eV per cell.